*a*
A plane-wave DFT calculation with PBE was carried out for crystalline TiAlAsSe2 at its relaxed geometry.

Unit cell a=4.930 b=4.930 c=4.999 alpha=90.00 beta=90.00 gamma=90.00
Positions (direct):
Ti  0.000  0.000  0.000
Al  0.500  0.500  0.500
As  0.000  0.000  0.500
Se  0.000  0.500  0.000
Se  0.500  0.000  0.000

* density of states at the Fermi level: 3.20 states/eV/f.u.
* theoretical density: 4.206 Mg/m³

*b*
A plane-wave DFT calculation with PBE was carried out for crystalline TiAlAsSe2 at its relaxed geometry.

Unit cell a=4.835 b=4.835 c=4.774 alpha=90.00 beta=90.00 gamma=90.00
Positions (direct):
Ti  0.000  0.000  0.000
Al  0.500  0.500  0.500
As  0.500  0.500  0.000
Se  0.000  0.500  0.500
Se  0.500  0.000  0.500

* density of states at the Fermi level: 6.03 states/eV/f.u.
* theoretical density: 4.578 Mg/m³

Which structure is the most stable? The one labeled *a*.